# Na2MgAgB (PBE-GGA, relaxed)
data_Na2MgAgB
_chemical_formula_sum 'Na2 Mg1 Ag1 B1'
_symmetry_space_group_name_H-M 'P 1'
_symmetry_Int_Tables_number 1
_cell_length_a 5.346
_cell_length_b 5.346
_cell_length_c 5.177
_cell_angle_alpha 90.00
_cell_angle_beta 90.00
_cell_angle_gamma 90.00
loop_
_symmetry_equiv_pos_as_xyz
'x,y,z'
loop_
_atom_site_label
_atom_site_fract_x
_atom_site_fract_y
_atom_site_fract_z
Na1 0.000 0.500 0.000
Na2 0.500 0.000 0.000
Mg1 0.000 0.000 0.500
B1 0.500 0.500 0.500
Ag1 0.000 0.000 0.000
# **SG**: P4/mmm
# **Crystal system**: tetragonal
# **E_form**: 1.092 eV/atom

***

# LaZrSn2Pd (PBE-GGA, relaxed)
data_LaZrSn2Pd
_chemical_formula_sum 'La1 Zr1 Sn2 Pd1'
_symmetry_space_group_name_H-M 'P 1'
_symmetry_Int_Tables_number 1
_cell_length_a 5.189
_cell_length_b 5.298
_cell_length_c 5.189
_cell_angle_alpha 90.00
_cell_angle_beta 90.00
_cell_angle_gamma 90.00
loop_
_symmetry_equiv_pos_as_xyz
'x,y,z'
loop_
_atom_site_label
_atom_site_fract_x
_atom_site_fract_y
_atom_site_fract_z
Zr1 0.500 0.500 0.500
Sn1 0.000 0.000 0.500
Sn2 0.500 0.000 0.000
Pd1 0.000 0.000 0.000
La1 0.000 0.500 0.000
# **SG**: P4/mmm
# **Crystal system**: tetragonal
# **E_form**: 0.045 eV/atom

***

# BaCa2Sc2 (PBE-GGA, relaxed)
data_BaCa2Sc2
_chemical_formula_sum 'Ba2 Ca4 Sc4'
_symmetry_space_group_name_H-M 'P 1'
_symmetry_Int_Tables_number 1
_cell_length_a 9.773
_cell_length_b 9.773
_cell_length_c 3.790
_cell_angle_alpha 90.00
_cell_angle_beta 90.00
_cell_angle_gamma 90.00
loop_
_symmetry_equiv_pos_as_xyz
'x,y,z'
loop_
_atom_site_label
_atom_site_fract_x
_atom_site_fract_y
_atom_site_fract_z
Sc1 0.143 0.643 0.500
Sc2 0.643 0.857 0.500
Sc3 0.857 0.357 0.500
Sc4 0.357 0.143 0.500
Ca1 0.354 0.854 0.000
Ca2 0.854 0.646 0.000
Ca3 0.646 0.146 0.000
Ca4 0.146 0.354 0.000
Ba1 0.000 0.000 0.000
Ba2 0.500 0.500 0.000
# **SG**: P4/mbm
# **Energy above the lowest structure with this stoichiometry**: 0.063 eV/atom
# **Crystal system**: tetragonal
# **E_form**: 0.334 eV/atom

***

# YCoAgSe2 (PBE-GGA, relaxed)
data_YCoAgSe2
_chemical_formula_sum 'Y1 Co1 Ag1 Se2'
_symmetry_space_group_name_H-M 'P 1'
_symmetry_Int_Tables_number 1
_cell_length_a 5.376
_cell_length_b 5.529
_cell_length_c 5.376
_cell_angle_alpha 90.00
_cell_angle_beta 90.00
_cell_angle_gamma 90.00
loop_
_symmetry_equiv_pos_as_xyz
'x,y,z'
loop_
_atom_site_label
_atom_site_fract_x
_atom_site_fract_y
_atom_site_fract_z
Y1 0.000 0.000 0.000
Co1 0.500 0.500 0.500
Se1 0.000 0.000 0.500
Se2 0.500 0.000 0.000
Ag1 0.000 0.500 0.000
# **SG**: P4/mmm
# **Crystal system**: tetragonal
# **Raw formation energy**: 539.0 meV per atom

***

# Co3CuH (PBE-GGA, relaxed)
data_Co3CuH
_chemical_formula_sum 'Co3 Cu1 H1'
_symmetry_space_group_name_H-M 'P 1'
_symmetry_Int_Tables_number 1
_cell_length_a 4.344
_cell_length_b 4.344
_cell_length_c 4.344
_cell_angle_alpha 90.00
_cell_angle_beta 90.00
_cell_angle_gamma 90.00
loop_
_symmetry_equiv_pos_as_xyz
'x,y,z'
loop_
_atom_site_label
_atom_site_fract_x
_atom_site_fract_y
_atom_site_fract_z
H1 0.500 0.500 0.500
Co1 0.000 0.500 0.000
Co2 0.000 0.000 0.500
Co3 0.500 0.000 0.000
Cu1 0.000 0.000 0.000
# **SG**: Pm-3m
# **Energy above the lowest structure with this stoichiometry**: 1.741 eV/atom
# **Crystal system**: cubic

***

# HfSnGe2 (PBE-GGA, relaxed)
data_HfSnGe2
_chemical_formula_sum 'Hf2 Sn2 Ge4'
_symmetry_space_group_name_H-M 'P 1'
_symmetry_Int_Tables_number 1
_cell_length_a 6.205
_cell_length_b 6.205
_cell_length_c 7.555
_cell_angle_alpha 65.75
_cell_angle_beta 65.75
_cell_angle_gamma 90.00
loop_
_symmetry_equiv_pos_as_xyz
'x,y,z'
loop_
_atom_site_label
_atom_site_fract_x
_atom_site_fract_y
_atom_site_fract_z
Ge1 0.630 0.125 0.250
Ge2 0.120 0.625 0.250
Ge3 0.375 0.370 0.750
Ge4 0.875 0.880 0.750
Hf1 0.000 0.000 0.000
Hf2 0.750 0.250 0.500
Sn1 0.500 0.500 0.000
Sn2 0.250 0.750 0.500
# **SG**: I-42d
# **Crystal system**: tetragonal
# **E_form**: 0.280 eV/atom

***

# CePaCrC3 (PBE-GGA, relaxed)
data_CePaCrC3
_chemical_formula_sum 'Ce2 Pa2 Cr2 C6'
_symmetry_space_group_name_H-M 'P 1'
_symmetry_Int_Tables_number 1
_cell_length_a 3.558
_cell_length_b 7.379
_cell_length_c 7.437
_cell_angle_alpha 95.71
_cell_angle_beta 90.00
_cell_angle_gamma 90.00
loop_
_symmetry_equiv_pos_as_xyz
'x,y,z'
loop_
_atom_site_label
_atom_site_fract_x
_atom_site_fract_y
_atom_site_fract_z
Ce1 0.750 0.840 0.821
Ce2 0.250 0.160 0.179
Pa1 0.250 0.634 0.181
Pa2 0.750 0.366 0.819
Cr1 0.250 0.093 0.588
Cr2 0.750 0.907 0.412
C1 0.250 0.843 0.483
C2 0.750 0.874 0.158
C3 0.750 0.403 0.131
C4 0.750 0.157 0.517
C5 0.250 0.597 0.869
C6 0.250 0.126 0.842
# **SG**: P2_1/m
# **Crystal system**: monoclinic
# **E_form**: -0.115 eV/atom

***

# ReHgPb (PBE-GGA, relaxed)
data_ReHgPb
_chemical_formula_sum 'Re1 Hg1 Pb1'
_symmetry_space_group_name_H-M 'P 1'
_symmetry_Int_Tables_number 1
_cell_length_a 7.568
_cell_length_b 7.568
_cell_length_c 7.568
_cell_angle_alpha 156.54
_cell_angle_beta 156.54
_cell_angle_gamma 33.42
loop_
_symmetry_equiv_pos_as_xyz
'x,y,z'
loop_
_atom_site_label
_atom_site_fract_x
_atom_site_fract_y
_atom_site_fract_z
Hg1 0.029 0.029 0.000
Pb1 0.309 0.309 0.000
Re1 0.662 0.662 0.000
# **SG**: I4mm
# **Energy above the lowest structure with this stoichiometry**: 0.067 eV/atom
# **Crystal system**: tetragonal
# **E_form**: 0.986 eV/atom

***

no.,E_tot (eV/cell)
1,-8.30
2,-26.45
3,-33.84
4,-20.70
5,-19.54
6,-44.14
7,-106.83
8,-13.50